[1]
Compound: CaReNi3
Source: the Alexandria database
Functional: PBE
Structure: optimized geometry

The space group is Pm-3m (No. 221) and the conventional cell measures 4.582, 4.582 and 4.582 Å, with angles of 90.00, 90.00 and 90.00 degrees. Symmetry generates all atoms from Ca at (0.000, 0.000, 0.000), Re at (0.500, 0.500, 0.500) and Ni at (0.000, 0.500, 0.500).

The calculation puts the formation energy at 0.65 eV per atom. The energy above the most stable polymorph in this dataset is 0.000 eV per atom. As for the total energy: -0.2100 Ha/atom. The calculation puts the size of the total moment at 0.00 μB per formula unit.



[2]
Compound: Ca2ReNi
Source: the Alexandria database
Functional: PBE
Structure: optimized geometry

The space group is Cmmm (No. 65) and the conventional cell measures 3.950, 4.412 and 8.822 Å, with angles of 90.00, 90.00 and 90.00 degrees. Symmetry generates all atoms from Ca at (0.000, 0.000, 0.228), Re at (0.000, 0.500, 0.500) and Ni at (0.000, 0.500, 0.000).

The calculation puts the formation energy at 0.59 eV per atom. The energy above the most stable polymorph in this dataset is 0.208 eV per atom. As for the total energy: -0.1825 Ha/atom. The calculation puts the size of the total moment at 0.00 μB per formula unit.



[3]
Compound: Ca3ReNi
Source: the Alexandria database
Functional: PBE
Structure: optimized geometry

The space group is Pm-3m (No. 221) and the conventional cell measures 5.388, 5.388 and 5.388 Å, with angles of 90.00, 90.00 and 90.00 degrees. Symmetry generates all atoms from Ca at (0.000, 0.000, 0.500), Re at (0.000, 0.000, 0.000) and Ni at (0.500, 0.500, 0.500).

The calculation puts the formation energy at 1.12 eV per atom. The energy above the most stable polymorph in this dataset is 0.199 eV per atom. As for the total energy: -0.1370 Ha/atom. The calculation puts the size of the total moment at 0.00 μB per formula unit.



[4]
Compound: Ca2ReNi
Source: the Alexandria database
Functional: PBE
Structure: optimized geometry

The space group is Fm-3m (No. 225) and the conventional cell measures 6.999, 6.999 and 6.999 Å, with angles of 90.00, 90.00 and 90.00 degrees. Symmetry generates all atoms from Ca at (0.250, 0.250, 0.250), Re at (0.000, 0.000, 0.000) and Ni at (0.000, 0.000, 0.500).

The calculation puts the formation energy at 0.85 eV per atom. The energy above the most stable polymorph in this dataset is 0.467 eV per atom. As for the total energy: -0.1729 Ha/atom. The calculation puts the size of the total moment at 2.89 μB per formula unit.



[5]
Compound: Ca2ReNi
Source: the Alexandria database
Functional: PBE
Structure: optimized geometry

The space group is P4/mmm (No. 123) and the conventional cell measures 5.320, 5.320 and 2.887 Å, with angles of 90.00, 90.00 and 90.00 degrees. Symmetry generates all atoms from Ca at (0.000, 0.500, 0.000), Re at (0.000, 0.000, 0.500) and Ni at (0.500, 0.500, 0.500).

The calculation puts the formation energy at 0.70 eV per atom. The energy above the most stable polymorph in this dataset is 0.313 eV per atom. As for the total energy: -0.1786 Ha/atom. The calculation puts the size of the total moment at 0.26 μB per formula unit.



[6]
Compound: Ca2ReNi2
Source: the Alexandria database
Functional: PBE
Structure: optimized geometry

The space group is P4/mbm (No. 127) and the conventional cell measures 6.351, 6.351 and 4.651 Å, with angles of 90.00, 90.00 and 90.00 degrees. Symmetry generates all atoms from Ca at (0.181, 0.319, 0.000), Re at (0.000, 0.000, 0.500) and Ni at (0.135, 0.635, 0.500).

The calculation puts the formation energy at 0.21 eV per atom. As for the total energy: -0.1981 Ha/atom. The calculation puts the size of the total moment at 0.00 μB per formula unit.



[7]
Compound: CaReNi3
Source: the Alexandria database
Functional: PBE
Structure: optimized geometry

The space group is Pm-3m (No. 221) and the conventional cell measures 4.382, 4.382 and 4.382 Å, with angles of 90.00, 90.00 and 90.00 degrees. Symmetry generates all atoms from Ca at (0.000, 0.000, 0.000), Re at (0.500, 0.500, 0.500) and Ni at (0.000, 0.000, 0.500).

The calculation puts the formation energy at 1.95 eV per atom. The energy above the most stable polymorph in this dataset is 1.308 eV per atom. As for the total energy: -0.1619 Ha/atom. The calculation puts the size of the total moment at 4.14 μB per formula unit.



[8]
Compound: CaRe2Ni2
Source: the Alexandria database
Functional: PBE
Structure: optimized geometry

The space group is P4/mbm (No. 127) and the conventional cell measures 7.710, 7.710 and 2.605 Å, with angles of 90.00, 90.00 and 90.00 degrees. Symmetry generates all atoms from Ca at (0.000, 0.000, 0.000), Re at (0.117, 0.383, 0.500) and Ni at (0.178, 0.678, 0.000).

The calculation puts the formation energy at 0.25 eV per atom. The energy above the most stable polymorph in this dataset is 0.010 eV per atom. As for the total energy: -0.2736 Ha/atom. The calculation puts the size of the total moment at 0.00 μB per formula unit.



[9]
Compound: Ca2ReNi
Source: the Alexandria database
Functional: PBE
Structure: optimized geometry

The space group is P4/mmm (No. 123) and the conventional cell measures 4.235, 4.235 and 4.403 Å, with angles of 90.00, 90.00 and 90.00 degrees. Symmetry generates all atoms from Ca at (0.000, 0.500, 0.000), Re at (0.000, 0.000, 0.500) and Ni at (0.500, 0.500, 0.500).

The calculation puts the formation energy at 0.80 eV per atom. The energy above the most stable polymorph in this dataset is 0.415 eV per atom. As for the total energy: -0.1748 Ha/atom. The calculation puts the size of the total moment at 0.95 μB per formula unit.



[10]
Compound: Ca2ReNi
Source: the Alexandria database
Functional: PBE
Structure: optimized geometry

The space group is Imm2 (No. 44) and the conventional cell measures 2.965, 5.113 and 11.014 Å, with angles of 90.00, 90.00 and 90.00 degrees. Symmetry generates all atoms from Ca at (0.000, 0.000, 0.000), Ca at (0.000, 0.500, 0.200), Re at (0.000, 0.000, 0.421) and Ni at (0.000, 0.500, 0.745).

The calculation puts the formation energy at 0.46 eV per atom. The energy above the most stable polymorph in this dataset is 0.073 eV per atom. As for the total energy: -0.1874 Ha/atom. The calculation puts the size of the total moment at 0.00 μB per formula unit.



[11]
Compound: Ca2ReNi
Source: the Alexandria database
Functional: PBE
Structure: optimized geometry

The space group is Pmm2 (No. 25) and the conventional cell measures 3.006, 3.513 and 8.564 Å, with angles of 90.00, 90.00 and 90.00 degrees. Symmetry generates all atoms from Ca at (0.000, 0.000, 0.000), Ca at (0.500, 0.500, 0.398), Re at (0.500, 0.500, 0.747) and Ni at (0.000, 0.000, 0.637).

The calculation puts the formation energy at 0.39 eV per atom. The energy above the most stable polymorph in this dataset is 0.000 eV per atom. As for the total energy: -0.1901 Ha/atom. The calculation puts the size of the total moment at 0.00 μB per formula unit.



[12]
Compound: Ca2ReNi
Source: the Alexandria database
Functional: PBE
Structure: optimized geometry

The space group is I-4m2 (No. 119) and the conventional cell measures 4.825, 4.825 and 6.813 Å, with angles of 90.00, 90.00 and 90.00 degrees. Symmetry generates all atoms from Ca at (0.000, 0.000, 0.000), Ca at (0.000, 0.500, 0.250), Re at (0.000, 0.000, 0.500) and Ni at (0.000, 0.500, 0.750).

The calculation puts the formation energy at 0.76 eV per atom. The energy above the most stable polymorph in this dataset is 0.378 eV per atom. As for the total energy: -0.1762 Ha/atom. The calculation puts the size of the total moment at 2.66 μB per formula unit.